Here is a relaxed MgHIN2 crystal from the Alexandria database. Energies are from PBE.

Values from the calculation:
**Spin magnetization**: 0.252 μB per atom
**Distance to the lowest polymorph of the same formula**: 3.80 kcal/mol of atoms

Geometry as CIF:
```
data_MgHIN2
_cell_length_a 4.3117
_cell_length_b 4.3117
_cell_length_c 3.4468
_cell_angle_alpha 90.00
_cell_angle_beta 90.00
_cell_angle_gamma 90.00
_space_group_name_H-M_alt 'P 4/m m m'
_space_group_IT_number 123
_space_group_name_Hall '-P 4 2'
loop_
_atom_site_label
_atom_site_type_symbol
_atom_site_fract_x
_atom_site_fract_y
_atom_site_fract_z
Mg1 Mg 0.0000 0.0000 0.0000
H1 H 0.5000 0.5000 0.5000
I1 I 0.5000 0.5000 0.0000
N1 N 0.0000 0.5000 0.5000
```